Material: CsLiTl2
Method: DFT, PBE
State: relaxed

Calculated values
V   145 Å³/cell
Space group   Fm-3m (225)
Fermi-level density of states   4.3 states/eV per cell
Calculated total energy   -1.75 eV per atom
DFT formation energy   0.13 eV per atom

Lattice parameters (Å, degrees): 5.8991 5.8991 5.8991 60.00 60.00 60.00
Fractional coordinates of all 4 atoms:
Li  0.0000  0.0000  0.0000
Cs  0.5000  0.5000  0.5000
Tl  0.2500  0.2500  0.2500
Tl  0.7500  0.7500  0.7500